[1]
DFT (PBE) results for crystalline TmPuFe2 at its relaxed geometry.

Geometry as POSCAR:
```
TmPuFe2
1.0
3.2994 0.0000 0.0000
0.0000 3.2994 0.0000
0.0000 0.0000 6.6722
Tm Pu Fe
1 1 2
direct
0.0000 0.0000 0.0000 Tm
0.0000 0.0000 0.5000 Pu
0.5000 0.5000 0.2810 Fe
0.5000 0.5000 0.7190 Fe
```

Computed properties:
For the density of states at the Fermi level, the calculation gives 7.03 states/eV/f.u. Its energy of formation from the pure elements is 0.0102 eV per atom. As for the space-group type: P4/mmm, No. 123. Its magnetization is 1.89 μB/cell. The total energy is -8.922 eV/atom.



[2]
DFT (PBE) results for crystalline Tm3Pu2Fe4 at its relaxed geometry.

Geometry as POSCAR:
```
Tm3Pu2Fe4
1.0
5.2896 -1.9979 0.0000
5.2896 1.9979 0.0000
-1.7948 0.0000 8.1891
Tm Pu Fe
3 2 4
direct
0.0000 0.0000 0.0000 Tm
0.3748 0.3748 0.6171 Tm
0.6252 0.6252 0.3829 Tm
0.3284 0.3284 0.2191 Pu
0.6716 0.6716 0.7809 Pu
0.0856 0.0856 0.6309 Fe
0.2716 0.2716 0.9092 Fe
0.7284 0.7284 0.0908 Fe
0.9144 0.9144 0.3691 Fe
```

Computed properties:
For the density of states at the Fermi level, the calculation gives 8.29 states/eV/f.u. Its energy of formation from the pure elements is -0.1429 eV per atom. As for the space-group type: C2/m, No. 12. Its magnetization is 5.65 μB/cell. The total energy is -8.579 eV/atom.



Q: The highest energy of formation from the pure elements belongs to which entry?
A: TmPuFe2